No. 1
LiCu2Ge: optimized geometry, GGA-PBE.

Calculated values
calculated total energy = -3.615 eV per atom
space group = Imma, No. 74

Cell and atoms, written as POSCAR:
```
LiCu2Ge
1.0
-2.707 3.535 2.713
2.707 -3.535 2.713
2.707 3.535 -2.713
Li Cu Ge
2 4 2
direct
0.251 0.001 0.250 Li
0.749 0.999 0.750 Li
0.250 0.000 0.750 Cu
0.250 0.500 0.250 Cu
0.750 0.000 0.250 Cu
0.750 0.500 0.750 Cu
0.249 0.499 0.750 Ge
0.751 0.501 0.250 Ge
```



No. 2
Sr2SnHg: optimized geometry, GGA-PBE.

Calculated values
calculated total energy = -2.576 eV per atom
space group = Fm-3m, No. 225

Cell and atoms, written as POSCAR:
```
Sr2SnHg
1.0
0.000 4.028 4.028
4.028 0.000 4.028
4.028 4.028 0.000
Sr Sn Hg
2 1 1
direct
0.250 0.250 0.250 Sr
0.750 0.750 0.750 Sr
0.000 0.000 0.000 Sn
0.500 0.500 0.500 Hg
```



No. 3
Cu4Ag: optimized geometry, GGA-PBE.

Calculated values
calculated total energy = -3.480 eV per atom
ΔH_f (0 K) = 0.29 eV per formula unit
space group = Cmcm, No. 63

Cell and atoms, written as POSCAR:
```
Cu4Ag
1.0
1.865 -9.288 0.000
1.865 9.288 0.000
0.000 0.000 3.761
Cu Ag
8 2
direct
0.058 0.942 0.750 Cu
0.159 0.841 0.250 Cu
0.250 0.750 0.750 Cu
0.342 0.658 0.250 Cu
0.658 0.342 0.750 Cu
0.750 0.250 0.250 Cu
0.841 0.159 0.750 Cu
0.942 0.058 0.250 Cu
0.445 0.555 0.750 Ag
0.555 0.445 0.250 Ag
```



No. 4
ZnSn2H28C10S3N2: optimized geometry, GGA-PBE.

Calculated values
calculated total energy = -5.069 eV per atom
space group = C222_1, No. 20

Cell and atoms, written as POSCAR:
```
ZnSn2H28C10S3N2
1.0
4.471 -9.257 0.000
4.471 9.257 0.000
0.000 0.000 12.359
Zn Sn H C S N
2 4 56 20 6 4
direct
0.039 0.961 0.750 Zn
0.961 0.039 0.250 Zn
0.083 0.682 0.623 Sn
0.318 0.917 0.877 Sn
0.682 0.083 0.377 Sn
0.917 0.318 0.123 Sn
0.018 0.556 0.418 H
0.024 0.700 0.242 H
0.054 0.829 0.133 H
0.091 0.210 0.920 H
0.108 0.483 0.494 H
0.158 0.437 0.273 H
0.171 0.946 0.367 H
0.182 0.608 0.211 H
0.199 0.263 0.585 H
0.210 0.091 0.080 H
0.212 0.413 0.858 H
0.238 0.691 0.442 H
0.256 0.513 0.142 H
0.263 0.199 0.415 H
0.279 0.444 0.666 H
0.295 0.304 0.873 H
0.300 0.976 0.258 H
0.304 0.295 0.127 H
0.309 0.762 0.058 H
0.331 0.357 0.317 H
0.357 0.331 0.683 H
0.392 0.818 0.289 H
0.413 0.212 0.142 H
0.437 0.158 0.727 H
0.444 0.279 0.334 H
0.444 0.982 0.082 H
0.483 0.108 0.506 H
0.487 0.744 0.358 H
0.513 0.256 0.858 H
0.517 0.892 0.006 H
0.556 0.018 0.582 H
0.556 0.721 0.834 H
0.563 0.842 0.227 H
0.587 0.788 0.642 H
0.608 0.182 0.789 H
0.643 0.669 0.183 H
0.669 0.643 0.817 H
0.691 0.238 0.558 H
0.696 0.705 0.627 H
0.700 0.024 0.758 H
0.705 0.696 0.373 H
0.721 0.556 0.166 H
0.737 0.801 0.915 H
0.744 0.487 0.642 H
0.762 0.309 0.942 H
0.788 0.587 0.358 H
0.790 0.909 0.580 H
0.801 0.737 0.085 H
0.818 0.392 0.711 H
0.829 0.054 0.867 H
0.842 0.563 0.773 H
0.892 0.517 0.994 H
0.909 0.790 0.420 H
0.946 0.171 0.633 H
0.976 0.300 0.742 H
0.982 0.444 0.918 H
0.037 0.813 0.221 C
0.116 0.592 0.476 C
0.159 0.491 0.196 C
0.182 0.290 0.856 C
0.187 0.963 0.279 C
0.246 0.319 0.666 C
0.290 0.182 0.144 C
0.319 0.246 0.334 C
0.408 0.884 0.024 C
0.491 0.159 0.804 C
0.509 0.841 0.304 C
0.592 0.116 0.524 C
0.681 0.754 0.834 C
0.710 0.818 0.644 C
0.754 0.681 0.166 C
0.813 0.037 0.779 C
0.818 0.710 0.356 C
0.841 0.509 0.696 C
0.884 0.408 0.976 C
0.963 0.187 0.721 C
0.060 0.867 0.911 S
0.133 0.940 0.589 S
0.285 0.715 0.750 S
0.715 0.285 0.250 S
0.867 0.060 0.089 S
0.940 0.133 0.411 S
0.118 0.213 0.748 N
0.213 0.118 0.252 N
0.787 0.882 0.752 N
0.882 0.787 0.248 N
```